# Cu2Ni7

Cu2Ni7 after structural relaxation (PBE, the Alexandria database). Values from VASP.

Energy above the lowest structure with this stoichiometry ... 1.30 kcal/mol of atoms
Mass density ... 8.89 g/cm³
E ... -5.326 eV/atom

The structure in Quantum ESPRESSO input format:
```
&SYSTEM
  ibrav = 0, nat = 9, ntyp = 2
/
ATOMIC_SPECIES
Cu 63.55 Cu.upf
Ni 58.69 Ni.upf
ATOMIC_POSITIONS crystal
Cu 0.0000 0.6667 0.3333
Cu 0.0000 0.3333 0.6667
Ni 0.5000 0.6435 0.0000
Ni 0.5000 0.0000 0.6435
Ni 0.5000 0.3565 0.3565
Ni 0.0000 0.3037 0.0000
Ni 0.0000 0.0000 0.3037
Ni 0.0000 0.6963 0.6963
Ni 0.5000 0.0000 0.0000
CELL_PARAMETERS angstrom
2.4532 0.0000 0.0000
0.0000 6.8762 0.0000
0.0000 -3.4381 5.9550
```

***

# Cu7Ni5

Cu7Ni5 after structural relaxation (PBE, the Alexandria database). Values from VASP.

Energy above the lowest structure with this stoichiometry ... 0.10 kcal/mol of atoms
Mass density ... 8.96 g/cm³
E ... -4.775 eV/atom

The structure in Quantum ESPRESSO input format:
```
&SYSTEM
  ibrav = 0, nat = 12, ntyp = 2
/
ATOMIC_SPECIES
Cu 63.55 Cu.upf
Ni 58.69 Ni.upf
ATOMIC_POSITIONS crystal
Cu 0.4160 0.8321 0.7499
Cu 0.5840 0.1679 0.2501
Cu 0.9166 0.8332 0.2521
Cu 0.0834 0.1668 0.7479
Cu 0.6665 0.3330 0.0005
Cu 0.5000 0.0000 0.5000
Cu 0.3335 0.6670 0.9995
Ni 0.1703 0.3407 0.5024
Ni 0.8297 0.6593 0.4976
Ni 0.2484 0.4969 0.2525
Ni 0.7516 0.5031 0.7475
Ni 0.0000 0.0000 0.0000
CELL_PARAMETERS angstrom
-2.2812 0.1865 2.7509
-2.4357 -2.9686 -4.1463
5.1409 -4.0840 4.5402
```

***

# CuNi3

CuNi3 after structural relaxation (PBE, the Alexandria database). Values from VASP.

Mass density ... 8.92 g/cm³
E ... -5.265 eV/atom

The structure in Quantum ESPRESSO input format:
```
&SYSTEM
  ibrav = 0, nat = 4, ntyp = 2
/
ATOMIC_SPECIES
Ni 58.69 Ni.upf
Cu 63.55 Cu.upf
ATOMIC_POSITIONS crystal
Ni 0.5000 0.0000 0.5000
Ni 0.5000 0.5000 0.0000
Ni 0.0000 0.5000 0.5000
Cu 0.0000 0.0000 0.0000
CELL_PARAMETERS angstrom
-2.2527 -0.9323 0.0400
0.6808 -3.6493 2.8298
-2.3519 3.6323 1.7503
```

***

| no. | formation energy (meV per atom) |
| --- | --- |
| 1 | 81 |
| 2 | 23 |
| 3 | 95 |